A relaxed Na2SbF5 crystal. Source: Alexandria, functional GGA-PBEsol.

Summary:
Uncorrected energy, eV per atom: -4.73
Symmetry: P2_12_12_1, No. 19

Cell: 5.4577 8.0361 11.1486 Å, 90.00 90.00 90.00°
Positions (direct):
Na 0.9178 0.6414 0.5643
Na 0.5822 0.3586 0.0643
Na 0.0822 0.1414 0.9357
Na 0.5041 0.8908 0.7620
Na 0.4959 0.3908 0.7380
Na 0.9959 0.1092 0.2620
Na 0.0041 0.6092 0.2380
Na 0.4178 0.8586 0.4357
F 0.7778 0.0976 0.0722
F 0.1818 0.8598 0.2112
F 0.8231 0.3626 0.8758
F 0.3882 0.5044 0.2089
F 0.6118 0.0044 0.2911
F 0.1118 0.4956 0.7089
F 0.3231 0.1374 0.1242
F 0.8882 0.9956 0.7911
F 0.8182 0.3598 0.2888
F 0.3182 0.1402 0.7112
F 0.6818 0.6402 0.7888
F 0.6769 0.6374 0.3758
F 0.1769 0.8626 0.6242
F 0.7222 0.9024 0.5722
F 0.3542 0.9299 0.9494
F 0.8542 0.5701 0.0506
F 0.1458 0.0701 0.4494
F 0.2222 0.5976 0.4278
F 0.6458 0.4299 0.5506
F 0.2778 0.4024 0.9278
Sb 0.9908 0.0791 0.6220
Sb 0.4908 0.4209 0.3780
Sb 0.0092 0.5791 0.8780
Sb 0.5092 0.9209 0.1220

=====

A relaxed NaSbF4 crystal. Source: Alexandria, functional GGA-PBEsol.

Summary:
Uncorrected energy, eV per atom: -4.82
Symmetry: P2_1/c, No. 14

Cell: 5.6652 7.9468 8.4139 Å, 90.15 90.00 90.00°
Positions (direct):
F 0.6376 0.1136 0.6778
F 0.0533 0.7034 0.1438
F 0.8624 0.1136 0.1778
F 0.4894 0.5919 0.1956
F 0.0106 0.5919 0.6956
F 0.4467 0.7034 0.6438
F 0.5533 0.2966 0.3562
F 0.5106 0.4081 0.8044
F 0.0845 0.1898 0.5837
F 0.9894 0.4081 0.3044
F 0.3624 0.8864 0.3222
F 0.1376 0.8864 0.8222
F 0.9155 0.8102 0.4163
F 0.4155 0.1898 0.0837
F 0.9467 0.2966 0.8562
F 0.5845 0.8102 0.9163
Na 0.7032 0.8529 0.1729
Na 0.2032 0.1471 0.3271
Na 0.2968 0.1471 0.8271
Na 0.7968 0.8529 0.6729
Sb 0.2992 0.6631 0.8553
Sb 0.7992 0.3369 0.6447
Sb 0.7008 0.3369 0.1447
Sb 0.2008 0.6631 0.3553

=====

A relaxed Na3ScF6 crystal. Source: Alexandria, functional GGA-PBEsol.

Summary:
Uncorrected energy, eV per atom: -5.51
Symmetry: P2_1/c, No. 14

Cell: 5.5673 5.8075 8.0659 Å, 90.00 91.12 90.00°
Positions (direct):
Na 0.0000 0.0000 0.5000
Na 0.5000 0.5000 0.0000
Na 0.9804 0.5580 0.2607
Na 0.0196 0.4420 0.7393
Na 0.5196 0.0580 0.2393
Na 0.4804 0.9420 0.7607
F 0.8709 0.0689 0.7695
F 0.1724 0.7162 0.9184
F 0.1291 0.9311 0.2305
F 0.2946 0.1811 0.9453
F 0.3709 0.4311 0.2695
F 0.7946 0.3189 0.4453
F 0.6291 0.5689 0.7305
F 0.8276 0.2838 0.0816
F 0.3276 0.2162 0.5816
F 0.7054 0.8189 0.0547
F 0.2054 0.6811 0.5547
F 0.6724 0.7838 0.4184
Sc 0.0000 0.0000 0.0000
Sc 0.5000 0.5000 0.5000

=====

Computed values of Fermi-level density of states (unit: states/eV/f.u.) for the preceding records, in sequence: 0.00 0.00 0.00.
Computed values of volume (unit: Å³/atom) for the preceding records, in sequence: 15.280 15.783 13.037.